Entry 1:
Here is a relaxed HoTl2Cd crystal from Alexandria via LeMat-Bulk. Energies are from PBE.

ΔE to the lowest computed polymorph   143 meV per atom
Energy relative to the elements   -0.0812 eV per atom
Volume   26.389 Å³/atom
Final energy   -10.55 eV/f.u.

The structure in CIF format:
```
data_HoTl2Cd
_chemical_formula_sum 'Ho1 Tl2 Cd1'
_symmetry_space_group_name_H-M 'P 1'
_symmetry_Int_Tables_number 1
_cell_length_a 3.697
_cell_length_b 3.697
_cell_length_c 7.721
_cell_angle_alpha 90.00
_cell_angle_beta 90.00
_cell_angle_gamma 90.00
loop_
_symmetry_equiv_pos_as_xyz
'x,y,z'
loop_
_atom_site_label
_atom_site_type_symbol
_atom_site_fract_x
_atom_site_fract_y
_atom_site_fract_z
Ho1 Ho 0.000 0.000 0.000
Tl1 Tl 0.500 0.500 0.258
Tl2 Tl 0.500 0.500 0.742
Cd1 Cd 0.000 0.000 0.500
```

Entry 2:
Here is a relaxed Ho2Tl3Cd crystal from Alexandria via LeMat-Bulk. Energies are from PBE.

Energy relative to the elements   -0.1782 eV per atom
Volume   26.304 Å³/atom
Final energy   -18.24 eV/f.u.

The structure in CIF format:
```
data_Ho2Tl3Cd
_chemical_formula_sum 'Ho4 Tl6 Cd2'
_symmetry_space_group_name_H-M 'P 1'
_symmetry_Int_Tables_number 1
_cell_length_a 10.282
_cell_length_b 9.600
_cell_length_c 6.148
_cell_angle_alpha 78.15
_cell_angle_beta 66.03
_cell_angle_gamma 35.82
loop_
_symmetry_equiv_pos_as_xyz
'x,y,z'
loop_
_atom_site_label
_atom_site_type_symbol
_atom_site_fract_x
_atom_site_fract_y
_atom_site_fract_z
Ho1 Ho 0.249 0.751 0.751
Ho2 Ho 0.250 0.250 0.250
Ho3 Ho 0.750 0.750 0.750
Ho4 Ho 0.751 0.249 0.249
Tl1 Tl 0.170 0.661 0.339
Tl2 Tl 0.171 0.171 0.829
Tl3 Tl 0.339 0.830 0.170
Tl4 Tl 0.661 0.170 0.830
Tl5 Tl 0.829 0.829 0.171
Tl6 Tl 0.830 0.339 0.661
Cd1 Cd 0.333 0.333 0.667
Cd2 Cd 0.667 0.667 0.333
```

Entry 3:
Here is a relaxed HoTlCd6 crystal from Alexandria via LeMat-Bulk. Energies are from PBE.

Energy relative to the elements   -0.1078 eV per atom
Volume   23.993 Å³/atom
Final energy   -13.30 eV/f.u.

The structure in CIF format:
```
data_HoTlCd6
_chemical_formula_sum 'Ho1 Tl1 Cd6'
_symmetry_space_group_name_H-M 'P 1'
_symmetry_Int_Tables_number 1
_cell_length_a 4.839
_cell_length_b 6.418
_cell_length_c 6.418
_cell_angle_alpha 74.36
_cell_angle_beta 90.00
_cell_angle_gamma 90.00
loop_
_symmetry_equiv_pos_as_xyz
'x,y,z'
loop_
_atom_site_label
_atom_site_type_symbol
_atom_site_fract_x
_atom_site_fract_y
_atom_site_fract_z
Ho1 Ho 0.000 0.000 0.000
Tl1 Tl 0.500 0.228 0.228
Cd1 Cd 0.000 0.430 0.430
Cd2 Cd 0.000 0.515 0.909
Cd3 Cd 0.000 0.909 0.515
Cd4 Cd 0.500 0.301 0.718
Cd5 Cd 0.500 0.718 0.301
Cd6 Cd 0.500 0.802 0.802
```

Entry 4:
Here is a relaxed HoTl2Cd crystal from Alexandria via LeMat-Bulk. Energies are from PBE.

ΔE to the lowest computed polymorph   0 meV per atom
Energy relative to the elements   -0.2240 eV per atom
Volume   25.601 Å³/atom
Final energy   -11.12 eV/f.u.

The structure in CIF format:
```
data_HoTl2Cd
_chemical_formula_sum 'Ho1 Tl2 Cd1'
_symmetry_space_group_name_H-M 'P 1'
_symmetry_Int_Tables_number 1
_cell_length_a 4.743
_cell_length_b 4.743
_cell_length_c 4.553
_cell_angle_alpha 90.00
_cell_angle_beta 90.00
_cell_angle_gamma 90.00
loop_
_symmetry_equiv_pos_as_xyz
'x,y,z'
loop_
_atom_site_label
_atom_site_type_symbol
_atom_site_fract_x
_atom_site_fract_y
_atom_site_fract_z
Ho1 Ho 0.000 0.000 0.000
Tl1 Tl 0.000 0.500 0.500
Tl2 Tl 0.500 0.000 0.500
Cd1 Cd 0.500 0.500 0.000
```

Entry 5:
Here is a relaxed Ho4TlCd5 crystal from Alexandria via LeMat-Bulk. Energies are from PBE.

Energy relative to the elements   -0.2985 eV per atom
Volume   25.219 Å³/atom
Final energy   -28.24 eV/f.u.

The structure in CIF format:
```
data_Ho4TlCd5
_chemical_formula_sum 'Ho4 Tl1 Cd5'
_symmetry_space_group_name_H-M 'P 1'
_symmetry_Int_Tables_number 1
_cell_length_a 8.209
_cell_length_b 8.209
_cell_length_c 6.491
_cell_angle_alpha 104.15
_cell_angle_beta 104.15
_cell_angle_gamma 36.64
loop_
_symmetry_equiv_pos_as_xyz
'x,y,z'
loop_
_atom_site_label
_atom_site_type_symbol
_atom_site_fract_x
_atom_site_fract_y
_atom_site_fract_z
Ho1 Ho 0.097 0.097 0.378
Ho2 Ho 0.307 0.307 0.185
Ho3 Ho 0.693 0.693 0.815
Ho4 Ho 0.903 0.903 0.622
Tl1 Tl 0.500 0.500 0.500
Cd1 Cd 0.100 0.100 0.904
Cd2 Cd 0.293 0.293 0.684
Cd3 Cd 0.500 0.500 0.000
Cd4 Cd 0.707 0.707 0.316
Cd5 Cd 0.900 0.900 0.096
```

Entry 6:
Here is a relaxed Ho4Tl5Cd crystal from Alexandria via LeMat-Bulk. Energies are from PBE.

ΔE to the lowest computed polymorph   268 meV per atom
Energy relative to the elements   -0.0092 eV per atom
Volume   29.758 Å³/atom
Final energy   -31.15 eV/f.u.

The structure in CIF format:
```
data_Ho4Tl5Cd
_chemical_formula_sum 'Ho8 Tl10 Cd2'
_symmetry_space_group_name_H-M 'P 1'
_symmetry_Int_Tables_number 1
_cell_length_a 7.635
_cell_length_b 10.259
_cell_length_c 7.599
_cell_angle_alpha 90.00
_cell_angle_beta 90.00
_cell_angle_gamma 90.00
loop_
_symmetry_equiv_pos_as_xyz
'x,y,z'
loop_
_atom_site_label
_atom_site_type_symbol
_atom_site_fract_x
_atom_site_fract_y
_atom_site_fract_z
Ho1 Ho 0.002 0.250 0.209
Ho2 Ho 0.250 0.564 0.476
Ho3 Ho 0.250 0.936 0.476
Ho4 Ho 0.498 0.250 0.209
Ho5 Ho 0.502 0.750 0.791
Ho6 Ho 0.750 0.064 0.524
Ho7 Ho 0.750 0.436 0.524
Ho8 Ho 0.998 0.750 0.791
Tl1 Tl 0.052 0.055 0.815
Tl2 Tl 0.052 0.445 0.815
Tl3 Tl 0.250 0.750 0.107
Tl4 Tl 0.448 0.055 0.815
Tl5 Tl 0.448 0.445 0.815
Tl6 Tl 0.552 0.555 0.185
Tl7 Tl 0.552 0.945 0.185
Tl8 Tl 0.750 0.250 0.893
Tl9 Tl 0.948 0.555 0.185
Tl10 Tl 0.948 0.945 0.185
Cd1 Cd 0.250 0.250 0.544
Cd2 Cd 0.750 0.750 0.456
```